VASP calculation (PBE with a Hubbard U) on a relaxed Cu2NiF crystal.

Computed properties:
calculated volume: 11.578 Å³ per atom
distance to the lowest polymorph of the same formula: 0.87 eV per formula unit
density of states at the Fermi level: 1.408 states/eV/atom
space-group type: Fm-3m, No. 225

Geometry as extended XYZ:
```
4
Lattice="-2.9608 2.1868 1.6432 -2.8192 1.6649 -2.3513 -3.7692 -1.4280 0.0530" Properties=species:S:1:pos:R:3 pbc="T T T"
Ni -4.7746 1.2118 -0.3275
Cu -2.3873 0.6059 -0.1638
Cu -7.1619 1.8178 -0.4913
F 0.0000 0.0000 0.0000
```